Entry 1:
Below is Li2YMnAl after structural relaxation, with properties calculated at the PBE-GGA level.

Lattice parameters (Å, degrees): 4.5680 5.5169 4.5680 90.00 90.00 90.00
Last column: nearest neighbours and their distance in Å.
Fractional coordinates of all 5 atoms:
Al (0.0000, 0.0000, 0.0000)  4 Li 2.28
Li (0.5000, 0.0000, 0.0000)  2 Al 2.28
Li (0.0000, 0.0000, 0.5000)  2 Al 2.28
Mn (0.5000, 0.5000, 0.5000)  4 Y 3.23, 8 Li 3.58
Y (0.0000, 0.5000, 0.0000)  2 Al 2.76

Symmetry: P4/mmm
ΔE_f in eV per atom: 1.073
Density in g/cm3: 2.66
Total magnetic moment in μB per formula unit: 0.33
DOS(E_F) in states/eV per cell: 6.86

---

Entry 2:
Below is NaLaP2 after structural relaxation, with properties calculated at the PBE-GGA level.

Lattice parameters (Å, degrees): 7.7912 7.7912 6.2806 51.66 51.66 90.00
Last column: nearest neighbours and their distance in Å.
Fractional coordinates of all 8 atoms:
P (0.8750, 0.8605, 0.7500)  2 Na 2.78, 2 La 2.93, 2 P 3.02
P (0.6105, 0.1250, 0.2500)  2 Na 2.78, 2 La 2.93, 2 P 3.02
La (0.7500, 0.2500, 0.5000)  4 P 2.93, 2 Na 3.02
La (0.0000, 0.0000, 0.0000)  4 P 2.93, 2 Na 3.02
P (0.1395, 0.6250, 0.2500)  2 Na 2.78, 2 La 2.93, 2 P 3.02
Na (0.2500, 0.7500, 0.5000)  4 P 2.78, 2 La 3.02
Na (0.5000, 0.5000, 0.0000)  4 P 2.78, 2 La 3.02
P (0.3750, 0.3895, 0.7500)  2 Na 2.78, 2 La 2.93, 2 P 3.02

Polymorph energy (0 for the lowest one) in meV per atom: 88
Symmetry: I-42d
ΔE_f in eV per atom: -0.496
Density in g/cm3: 4.06
Total magnetic moment in μB per formula unit: 0.00
DOS(E_F) in states/eV per cell: 0.29

---

Entry 3:
Below is MgCo2BPd after structural relaxation, with properties calculated at the PBE-GGA level.

Lattice parameters (Å, degrees): 3.8656 3.8656 4.1531 90.00 90.00 90.00
Last column: nearest neighbours and their distance in Å.
Fractional coordinates of all 5 atoms:
Mg (0.5000, 0.5000, 0.5000)  4 Pd 2.73, 8 Co 2.84
Co (0.0000, 0.5000, 0.0000)  2 B 1.93
B (0.0000, 0.0000, 0.0000)  4 Co 1.93, 2 Pd 2.08
Co (0.5000, 0.0000, 0.0000)  2 B 1.93
Pd (0.0000, 0.0000, 0.5000)  2 B 2.08

Symmetry: P4/mmm
ΔE_f in eV per atom: -0.172
Density in g/cm3: 6.94
Total magnetic moment in μB per formula unit: 0.99
DOS(E_F) in states/eV per cell: 5.16